Y2ScCr: relaxed, PBE.

a = 4.896 Å, b = 4.896 Å, c = 8.476 Å
α = 90.00°, β = 90.00°, γ = 90.00°
Space group I-4m2 (No. 119)
Asymmetric unit:
Y 0.000 0.000 0.000 [2 per cell]
Y 0.000 0.500 0.250 [2 per cell]
Sc 0.000 0.000 0.500 [2 per cell]
Cr 0.000 0.500 0.750 [2 per cell]

Formation energy from the elements: 0.32 eV/atom
M_tot: 2.38 μB per formula unit
Energy above the most stable polymorph in this dataset: 0.125 eV per atom
Crystal system: tetragonal